## La2Al6RuRh (PBE-GGA)

Data for a relaxed structure of La2Al6RuRh.

Geometry as POSCAR:
```
La2Al6RuRh
1.0
6.693 -0.001 -0.008
0.000 6.692 -0.007
3.341 3.341 4.726
Al Rh Ru La
6 1 1 2
direct
0.250 0.250 0.499
0.750 0.750 0.000
0.750 0.750 0.501
0.750 0.250 0.000
0.250 0.750 0.000
0.250 0.250 0.000
0.000 0.000 0.000
0.500 0.500 0.000
0.750 0.250 0.500
0.250 0.750 0.500
```

Calculated values
Density in kg/m3: 5042
Size of the total moment in μB/f.u.: 0.00
E_tot in eV/cell: -54.28
Formation energy in eV per atom: -0.5341